## Cs4AuI7 (PBE)

Data for a relaxed structure of Cs4AuI7.

Unit cell a=6.163 b=10.497 c=11.992 alpha=68.05 beta=75.11 gamma=72.93
Element x y z (fractional)
Cs1 0.550 0.636 0.263
Cs2 0.450 0.364 0.737
Cs3 0.715 0.869 0.700
Cs4 0.285 0.131 0.300
Au1 0.000 0.000 0.000
I1 0.759 0.495 0.986
I2 0.241 0.505 0.014
I3 0.066 0.109 0.760
I4 0.934 0.891 0.240
I5 0.349 0.753 0.550
I6 0.500 0.000 0.000
I7 0.651 0.247 0.450

Spin magnetization (μB/f.u.): 0.000
Formation energy from raw total energies (eV/atom): -1.05
SG: C2/m